NbGeSe3: optimized geometry, PBE.

Summary:
V, Å³ per atom: 25.80
Relative energy among the computed polymorphs, meV/atom: 605.3
Energy, eV/cell: -24.886
Space group: No. 221

Geometry as POSCAR:
```
NbGeSe3
1.0
5.053 0.000 0.000
0.000 5.053 0.000
0.000 0.000 5.053
Nb Ge Se
1 1 3
direct
0.000 0.000 0.000
0.500 0.500 0.500
0.000 0.000 0.500
0.000 0.500 0.000
0.500 0.000 0.000
```